Record 1
ZnBiPS2 | PBE | optimized geometry

Lattice parameters (Å, degrees): 4.7306 4.7306 4.6425 90.00 90.00 90.00
Sites, in units of the cell vectors:
Zn 0.0000 0.0000 0.0000
Bi 0.5000 0.5000 0.5000
P 0.0000 0.0000 0.5000
S 0.0000 0.5000 0.0000
S 0.5000 0.0000 0.0000

Results
energy relative to the elements, uncorrected = 394 meV per atom
relative energy among the computed polymorphs = 0.000 eV/atom
calculated total energy = -16.849 eV/cell

Record 2
MnOsPt2Au | PBE | optimized geometry

Lattice parameters (Å, degrees): 4.9082 4.9082 4.4573 90.00 90.00 90.00
Sites, in units of the cell vectors:
Mn 0.0000 0.0000 0.0000
Os 0.5000 0.5000 0.0000
Pt 0.0000 0.5000 0.5000
Pt 0.5000 0.0000 0.5000
Au 0.0000 0.0000 0.5000

Results
ΔE_f = 2342 meV per atom
calculated total energy = -24.048 eV/cell

Record 3
Y5Ho2 | PBE | optimized geometry

Lattice parameters (Å, degrees): 8.4560 8.4560 9.2103 95.76 95.76 43.71
Sites, in units of the cell vectors:
Y 0.0256 0.6905 0.0361
Y 0.1202 0.4506 0.6786
Y 0.1684 0.8316 0.7500
Y 0.3095 0.9744 0.4639
Y 0.4506 0.1202 0.1786
Y 0.5494 0.8798 0.8214
Y 0.6905 0.0256 0.5361
Y 0.8316 0.1684 0.2500
Y 0.8798 0.5494 0.3214
Y 0.9744 0.3095 0.9639
Ho 0.2627 0.5951 0.3929
Ho 0.4049 0.7373 0.1071
Ho 0.5951 0.2627 0.8929
Ho 0.7373 0.4049 0.6071

Results
ΔE_f = 0 meV per atom
calculated total energy = -82.953 eV/cell

Record 4
Ca3In2Si3O12 | PBE | optimized geometry

Lattice parameters (Å, degrees): 10.8008 10.8008 10.8008 109.47 109.47 109.47
Sites, in units of the cell vectors:
Ca 0.1250 0.2500 0.3750
Ca 0.1250 0.3750 0.7500
Ca 0.2500 0.3750 0.1250
Ca 0.2500 0.8750 0.6250
Ca 0.3750 0.1250 0.2500
Ca 0.3750 0.7500 0.1250
Ca 0.6250 0.2500 0.8750
Ca 0.6250 0.8750 0.7500
Ca 0.7500 0.1250 0.3750
Ca 0.7500 0.6250 0.8750
Ca 0.8750 0.6250 0.2500
Ca 0.8750 0.7500 0.6250
In 0.0000 0.0000 0.0000
In 0.0000 0.0000 0.5000
In 0.0000 0.5000 0.0000
In 0.0000 0.5000 0.5000
In 0.5000 0.0000 0.0000
In 0.5000 0.0000 0.5000
In 0.5000 0.5000 0.0000
In 0.5000 0.5000 0.5000
Si 0.1250 0.7500 0.8750
Si 0.1250 0.8750 0.2500
Si 0.2500 0.1250 0.8750
Si 0.2500 0.6250 0.3750
Si 0.3750 0.2500 0.6250
Si 0.3750 0.6250 0.7500
Si 0.6250 0.3750 0.2500
Si 0.6250 0.7500 0.3750
Si 0.7500 0.3750 0.6250
Si 0.7500 0.8750 0.1250
Si 0.8750 0.1250 0.7500
Si 0.8750 0.2500 0.1250
O 0.0126 0.2141 0.1213
O 0.0126 0.2984 0.8913
O 0.0928 0.7141 0.7016
O 0.0928 0.8787 0.3913
O 0.1087 0.6213 0.4072
O 0.1087 0.9874 0.7016
O 0.1213 0.0126 0.2141
O 0.1213 0.6087 0.9072
O 0.2016 0.2141 0.5928
O 0.2016 0.4874 0.6087
O 0.2141 0.1213 0.0126
O 0.2141 0.5928 0.2016
O 0.2859 0.2984 0.9072
O 0.2859 0.4874 0.3787
O 0.2984 0.8913 0.0126
O 0.2984 0.9072 0.2859
O 0.3787 0.2859 0.4874
O 0.3787 0.5928 0.8913
O 0.3913 0.0928 0.8787
O 0.3913 0.7984 0.5126
O 0.4072 0.1087 0.6213
O 0.4072 0.7984 0.7859
O 0.4874 0.3787 0.2859
O 0.4874 0.6087 0.2016
O 0.5126 0.3913 0.7984
O 0.5126 0.6213 0.7141
O 0.5928 0.2016 0.2141
O 0.5928 0.8913 0.3787
O 0.6087 0.2016 0.4874
O 0.6087 0.9072 0.1213
O 0.6213 0.4072 0.1087
O 0.6213 0.7141 0.5126
O 0.7016 0.0928 0.7141
O 0.7016 0.1087 0.9874
O 0.7141 0.5126 0.6213
O 0.7141 0.7016 0.0928
O 0.7859 0.4072 0.7984
O 0.7859 0.8787 0.9874
O 0.7984 0.5126 0.3913
O 0.7984 0.7859 0.4072
O 0.8787 0.3913 0.0928
O 0.8787 0.9874 0.7859
O 0.8913 0.0126 0.2984
O 0.8913 0.3787 0.5928
O 0.9072 0.1213 0.6087
O 0.9072 0.2859 0.2984
O 0.9874 0.7016 0.1087
O 0.9874 0.7859 0.8787

Results
energy relative to the elements, uncorrected = -2659 meV per atom
calculated total energy = -561.741 eV/cell

Record 5
Ce6HPt3 | PBE | optimized geometry

Lattice parameters (Å, degrees): 8.9472 8.9472 5.5379 90.00 90.00 106.54
Sites, in units of the cell vectors:
Ce 0.0582 0.9418 0.5000
Ce 0.0736 0.5761 0.5056
Ce 0.2614 0.7386 0.0227
Ce 0.2689 0.3997 0.0116
Ce 0.3997 0.2689 0.5116
Ce 0.4239 0.9264 0.5056
Ce 0.5761 0.0736 0.0056
Ce 0.6003 0.7311 0.0116
Ce 0.7311 0.6003 0.5116
Ce 0.7386 0.2614 0.5227
Ce 0.9264 0.4239 0.0056
Ce 0.9418 0.0582 0.0000
H 0.1974 0.8026 0.6612
H 0.8026 0.1974 0.1612
Pt 0.0668 0.2632 0.5156
Pt 0.2632 0.0668 0.0156
Pt 0.4026 0.5974 0.5122
Pt 0.5974 0.4026 0.0122
Pt 0.7368 0.9332 0.5156
Pt 0.9332 0.7368 0.0156

Results
relative energy among the computed polymorphs = 0.015 eV/atom
calculated total energy = -126.865 eV/cell

Record 6
PmNd3Pb2 | PBE | optimized geometry

Lattice parameters (Å, degrees): 4.6851 4.6851 8.9445 90.00 90.00 90.00
Sites, in units of the cell vectors:
Pm 0.0000 0.0000 0.0000
Nd 0.0000 0.5000 0.3478
Nd 0.5000 0.0000 0.6522
Nd 0.5000 0.5000 0.0000
Pb 0.0000 0.5000 0.7167
Pb 0.5000 0.0000 0.2833

Results
ΔE_f = -444 meV per atom
relative energy among the computed polymorphs = 0.000 eV/atom
calculated total energy = -29.134 eV/cell